[1]
DFT (GGA-PBE) results for a relaxed Pr8Nd2Y crystal.

Computed properties:
symmetry	C2/m

Cell: 9.631 9.631 6.092 Å, 105.51 105.51 122.25°
Atoms (fractional coordinates):
Pr 0.098 0.332 0.680
Pr 0.205 0.795 0.000
Pr 0.332 0.098 0.680
Pr 0.422 0.422 0.203
Pr 0.578 0.578 0.797
Pr 0.668 0.902 0.320
Pr 0.795 0.205 0.000
Pr 0.902 0.668 0.320
Nd 0.309 0.691 0.500
Nd 0.691 0.309 0.500
Y 0.000 0.000 0.000

=====

[2]
DFT (GGA-PBE) results for a relaxed BaScTc crystal.

Computed properties:
symmetry	P-6m2

Cell: 4.613 4.613 4.606 Å, 90.00 90.00 120.00°
Atoms (fractional coordinates):
Ba 0.000 0.000 0.000
Sc 0.667 0.333 0.500
Tc 0.333 0.667 0.500

=====

[3]
DFT (GGA-PBE) results for a relaxed K2ScMn crystal.

Computed properties:
symmetry	P4/mmm

Cell: 4.553 4.553 6.409 Å, 90.00 90.00 90.00°
Atoms (fractional coordinates):
K 0.000 0.500 0.000
K 0.500 0.000 0.000
Sc 0.000 0.000 0.500
Mn 0.500 0.500 0.500

=====

| no. | polymorph energy (0 for the lowest one) (meV/atom) | electronic total energy (eV/atom) |
| --- | --- | --- |
| 1 | 120 | -4.80 |
| 2 | 278 | -5.51 |
| 3 | 403 | -3.52 |